(1)
The following is a DFT calculation (PBE) of a relaxed structure of LiAg2IrS.

* energy relative to the elements, uncorrected: 247 meV per atom
* N(E_F): 2.14 states/eV/cell
* space-group type: P4/mmm

Cell lengths 5.2913, 5.2913, 4.2910 Å; angles 90.00, 90.00, 90.00 degrees
Atoms (fractional coordinates):
Li: 0.0000 0.0000 0.0000
Ag: 0.0000 0.5000 0.5000
Ag: 0.5000 0.0000 0.5000
Ir: 0.5000 0.5000 0.5000
S: 0.5000 0.5000 0.0000

***

(2)
The following is a DFT calculation (PBE) of a relaxed structure of LiAgSbIr.

* energy relative to the elements, uncorrected: -144 meV per atom
* N(E_F): 2.18 states/eV/cell
* space-group type: F-43m

Cell lengths 4.5619, 4.5619, 4.5619 Å; angles 60.00, 60.00, 60.00 degrees
Atoms (fractional coordinates):
Li: 0.0000 0.0000 0.0000
Ag: 0.7500 0.7500 0.7500
Sb: 0.2500 0.2500 0.2500
Ir: 0.5000 0.5000 0.5000